# FePtSe2

A geometry-optimized FePtSe2 structure (GGA-PBE, Alexandria).

Results
As for the space-group type: No. 8. The value obtained for the energy above the lowest structure with this stoichiometry is 245 meV per atom. For the volume, the calculation gives 72.56 Å³ per cell. The uncorrected formation energy is 0.3 eV/f.u.

abc: 6.0906 6.0906 3.6228
angles: 107.21 107.21 34.60
With the nearest neighbours (Å) after each atom.
Fractional coordinates of all 4 atoms:
Fe: 0.0000 0.0000 0.0000  5 Se 2.56-2.58, 1 Pt 2.59
Pt: 0.7656 0.7656 0.7663  5 Se 2.59-2.71, 1 Fe 2.59
Se: 0.2319 0.2319 0.2326  1 Fe 2.56, 4 Pt 2.59
Se: 0.5202 0.5202 0.5217  4 Fe 2.57-2.58, 1 Pt 2.71